(1)
The following is a PBE-GGA calculation of a relaxed structure of CaRhPb2, from Alexandria.

abc: 4.681 3.639 5.989
angles: 78.95 90.00 90.00
Positions (direct):
Pb: 0.000 0.096 0.023
Rh: 0.500 0.250 0.250
Pb: 0.000 0.404 0.477
Ca: 0.500 0.750 0.750

Output
V	25.03	Å³ per atom
E_tot	-17.43	eV/cell



(2)
The following is a PBE-GGA calculation of a relaxed structure of Cr2In2Ag, from Alexandria.

abc: 7.345 7.345 3.313
angles: 90.00 90.00 90.00
Positions (direct):
Ag: 0.000 0.000 0.000
Cr: 0.905 0.595 0.000
Cr: 0.595 0.095 0.000
In: 0.804 0.304 0.500
In: 0.304 0.196 0.500
Cr: 0.095 0.405 0.000
In: 0.696 0.804 0.500
Ag: 0.500 0.500 0.000
In: 0.196 0.696 0.500
Cr: 0.405 0.905 0.000

Output
V	17.87	Å³ per atom
E_tot	-50.73	eV/cell



(3)
The following is a PBE-GGA calculation of a relaxed structure of Nd3Au5O12, from Alexandria.

abc: 11.540 11.540 11.540
angles: 109.47 109.47 109.47
Positions (direct):
Au: 0.250 0.375 0.625
O: 0.456 0.661 0.087
O: 0.795 0.339 0.926
O: 0.839 0.926 0.295
Nd: 0.875 0.750 0.125
O: 0.161 0.074 0.705
Au: 0.000 0.000 0.500
Au: 0.125 0.375 0.250
O: 0.130 0.426 0.087
O: 0.339 0.544 0.413
O: 0.044 0.630 0.705
Nd: 0.125 0.875 0.750
O: 0.087 0.926 0.130
O: 0.130 0.705 0.544
O: 0.544 0.339 0.913
O: 0.795 0.456 0.370
O: 0.839 0.913 0.044
O: 0.661 0.205 0.574
Nd: 0.375 0.625 0.250
O: 0.574 0.870 0.413
O: 0.413 0.044 0.339
O: 0.574 0.705 0.661
O: 0.370 0.956 0.795
O: 0.956 0.370 0.295
O: 0.926 0.839 0.795
O: 0.661 0.456 0.587
O: 0.870 0.295 0.456
O: 0.630 0.044 0.205
Au: 0.000 0.000 0.000
O: 0.205 0.661 0.074
Au: 0.875 0.250 0.625
O: 0.913 0.074 0.870
O: 0.587 0.630 0.426
O: 0.870 0.574 0.913
Au: 0.375 0.250 0.125
Au: 0.625 0.875 0.250
Nd: 0.625 0.375 0.750
Au: 0.000 0.500 0.000
O: 0.044 0.413 0.839
Nd: 0.250 0.625 0.875
O: 0.544 0.205 0.130
O: 0.413 0.370 0.574
Nd: 0.250 0.125 0.375
O: 0.074 0.161 0.205
Au: 0.750 0.625 0.375
O: 0.456 0.795 0.870
O: 0.630 0.587 0.926
Au: 0.500 0.000 0.000
O: 0.087 0.161 0.456
O: 0.587 0.956 0.661
Nd: 0.125 0.250 0.875
O: 0.926 0.087 0.630
O: 0.426 0.130 0.587
Au: 0.250 0.875 0.125
Nd: 0.750 0.875 0.625
Au: 0.125 0.750 0.375
Au: 0.500 0.000 0.500
Au: 0.625 0.750 0.875
Nd: 0.625 0.250 0.375
Nd: 0.375 0.750 0.625
O: 0.956 0.587 0.161
O: 0.913 0.839 0.544
O: 0.370 0.413 0.074
O: 0.295 0.426 0.839
O: 0.295 0.870 0.956
Au: 0.750 0.125 0.875
Au: 0.500 0.500 0.500
Nd: 0.875 0.125 0.250
O: 0.161 0.087 0.956
O: 0.705 0.130 0.044
O: 0.426 0.295 0.339
Au: 0.875 0.625 0.750
O: 0.205 0.544 0.630
Au: 0.375 0.125 0.750
O: 0.705 0.574 0.161
Au: 0.500 0.500 0.000
O: 0.074 0.913 0.370
Nd: 0.750 0.375 0.125
O: 0.339 0.795 0.426
Au: 0.000 0.500 0.500

Output
formation energy (no corrections)	-1.076	eV/atom
V	14.79	Å³ per atom
E_tot	-446.82	eV/cell



(4)
The following is a PBE-GGA calculation of a relaxed structure of CeSm5, from Alexandria.

abc: 5.105 5.113 8.074
angles: 108.46 90.00 90.00
Site moments in Bohr magnetons follow the coordinates.
Positions (direct):
Sm: 0.000 0.665 0.331  0.00
Sm: 0.500 0.836 0.672  0.01
Sm: 0.000 0.335 0.669  0.00
Ce: 0.000 0.000 0.000  0.77
Sm: 0.500 0.500 0.000  0.03
Sm: 0.500 0.164 0.328  0.01

Output
V	33.32	Å³ per atom
E_tot	-29.19	eV/cell



(5)
The following is a PBE-GGA calculation of a relaxed structure of Ca2YP, from Alexandria.

abc: 6.198 6.198 6.198
angles: 137.36 137.36 61.89
Positions (direct):
P: 0.500 0.500 0.000
Ca: 0.000 0.000 0.000
Ca: 0.250 0.750 0.500
Y: 0.750 0.250 0.500

Output
V	27.00	Å³ per atom
E_tot	-16.82	eV/cell



(6)
The following is a PBE-GGA calculation of a relaxed structure of MgTlSCl2, from Alexandria.

abc: 4.618 10.801 4.618
angles: 90.00 90.00 90.00
Site moments in Bohr magnetons follow the coordinates.
Positions (direct):
Mg: 0.000 0.000 0.000  0.00
Tl: 0.000 0.500 0.000  0.06
Cl: 0.000 0.000 0.500  0.00
S: 0.500 0.500 0.500  0.47
Cl: 0.500 0.000 0.000  0.00

Output
formation energy (no corrections)	-0.688	eV/atom
V	46.06	Å³ per atom
E_tot	-15.22	eV/cell



(7)
The following is a PBE-GGA calculation of a relaxed structure of LiZnTe2, from Alexandria.

abc: 3.783 3.783 7.552
angles: 90.00 90.00 90.00
Positions (direct):
Te: 0.000 0.000 0.867
Li: 0.500 0.500 0.745
Te: 0.500 0.500 0.374
Zn: 0.000 0.000 0.514

Output
formation energy (no corrections)	-0.381	eV/atom
V	27.02	Å³ per atom
E_tot	-11.00	eV/cell



(8)
The following is a PBE-GGA calculation of a relaxed structure of SmY2Ho2Er2, from Alexandria.

abc: 3.495 9.169 8.307
angles: 118.44 90.00 100.99
Positions (direct):
Ho: 0.428 0.856 0.767
Y: 0.351 0.702 0.091
Ho: 0.572 0.144 0.233
Er: 0.790 0.579 0.378
Sm: 0.000 0.000 0.500
Y: 0.649 0.298 0.909
Er: 0.210 0.421 0.622

Output
V	32.64	Å³ per atom
E_tot	-34.91	eV/cell



(9)
The following is a PBE-GGA calculation of a relaxed structure of TaPdOF2, from Alexandria.

abc: 4.170 4.170 3.922
angles: 90.00 90.00 90.00
Positions (direct):
Pd: 0.500 0.500 0.500
Ta: 0.000 0.000 0.000
F: 0.000 0.500 0.000
F: 0.500 0.000 0.000
O: 0.000 0.000 0.500

Output
formation energy (no corrections)	-1.579	eV/atom
V	13.64	Å³ per atom
E_tot	-33.64	eV/cell



(10)
The following is a PBE-GGA calculation of a relaxed structure of BaSmSb2, from Alexandria.

abc: 4.634 4.634 8.476
angles: 74.14 74.14 60.00
Positions (direct):
Sm: 0.000 0.000 0.000
Sb: 0.739 0.739 0.784
Sb: 0.261 0.261 0.216
Ba: 0.500 0.500 0.500

Output
formation energy (no corrections)	-0.958	eV/atom
V	37.39	Å³ per atom
E_tot	-18.72	eV/cell



(11)
The following is a PBE-GGA calculation of a relaxed structure of Tb4SmEr3, from Alexandria.

abc: 6.276 7.261 11.261
angles: 90.00 90.00 90.00
Positions (direct):
Er: 0.981 0.624 0.250
Tb: 0.481 0.875 0.248
Tb: 0.149 0.874 0.500
Er: 0.481 0.376 0.250
Er: 0.148 0.376 0.500
Tb: 0.981 0.125 0.748
Tb: 0.146 0.874 0.000
Sm: 0.148 0.375 0.000
Er: 0.981 0.624 0.750
Er: 0.481 0.376 0.750
Tb: 0.481 0.875 0.752
Tb: 0.646 0.126 0.500
Er: 0.648 0.624 0.000
Sm: 0.648 0.625 0.500
Tb: 0.649 0.126 0.000
Tb: 0.981 0.125 0.252

Output
V	32.07	Å³ per atom
E_tot	-73.71	eV/cell



(12)
The following is a PBE-GGA calculation of a relaxed structure of Ac5TmTl8, from Alexandria.

abc: 8.567 8.567 8.567
angles: 108.69 111.05 108.69
Positions (direct):
Tl: 0.588 0.893 0.875
Ac: 0.895 0.874 0.243
Tl: 0.456 0.591 0.185
Tl: 0.982 0.107 0.695
Tl: 0.594 0.409 0.865
Ac: 0.757 0.652 0.631
Ac: 0.979 0.348 0.105
Tl: 0.305 0.287 0.412
Tl: 0.135 0.729 0.544
Tl: 0.815 0.271 0.406
Ac: 0.369 0.126 0.021
Ac: 0.500 0.000 0.500
Tm: 0.250 0.500 0.750
Tl: 0.125 0.713 0.018

Output
V	34.55	Å³ per atom
E_tot	-47.93	eV/cell